# 1
Density functional theory data (PBE-GGA) for crystalline As2OsSeN at its relaxed geometry.

```
As2OsSeN
1.0
4.1680 0.0000 0.0000
0.0000 4.1680 0.0000
0.0000 0.0000 4.3175
Se N As Os
1 1 2 1
direct
0.0000 0.0000 0.5000 Se
0.0000 0.0000 0.0000 N
0.5000 0.0000 0.0000 As
0.0000 0.5000 0.0000 As
0.5000 0.5000 0.5000 Os
```

Calculated values
As for the raw total energy: -5.344 eV per atom. Its offset from the most stable computed form is 0.00 eV/f.u.


# 2
Density functional theory data (PBE-GGA) for crystalline SnAsOs2N at its relaxed geometry.

```
SnAsOs2N
1.0
4.9973 0.0000 0.0000
0.0000 3.9044 0.0000
0.0000 0.0000 4.9973
Os N Sn As
2 1 1 1
direct
0.0000 0.0000 0.5000 Os
0.5000 0.0000 0.0000 Os
0.0000 0.5000 0.0000 N
0.0000 0.0000 0.0000 Sn
0.5000 0.5000 0.5000 As
```

Calculated values
As for the raw total energy: -5.443 eV per atom.


# 3
Density functional theory data (PBE-GGA) for crystalline Tc2AsOsN at its relaxed geometry.

```
Tc2AsOsN
1.0
-1.1678 1.7370 -3.5543
-2.3233 -3.1496 -0.7759
-3.1435 1.8425 1.9332
Tc N Os As
2 1 1 1
direct
0.0000 0.0000 0.5000 Tc
0.5000 0.0000 0.0000 Tc
0.0000 0.0000 0.0000 N
0.0000 0.5000 0.0000 Os
0.5000 0.5000 0.5000 As
```

Calculated values
As for the raw total energy: -8.544 eV per atom.


Number 1: volume 15.0 A^3/atom. Number 2: volume 19.5 A^3/atom. Number 3: volume 13.6 A^3/atom.